# 1
Ac4La3NbN8: optimized geometry, PBE.

Summary:
**Total magnetic moment**: 0.00 μB/atom

Cell and atoms, written as CIF:
```
data_Ac4La3NbN8
_symmetry_space_group_name_H-M 'R -3 m'
_symmetry_Int_Tables_number 166
_symmetry_space_group_name_Hall '-R 3 2"'
_cell_length_a 7.4242
_cell_length_b 7.4242
_cell_length_c 18.3433
_cell_angle_alpha 90.00
_cell_angle_beta 90.00
_cell_angle_gamma 120.00
loop_
_atom_site_label
_atom_site_type_symbol
_atom_site_fract_x
_atom_site_fract_y
_atom_site_fract_z
Ac1 Ac 0.0000 0.0000 0.0000
Ac2 Ac 0.0000 0.5000 0.0000
La1 La 0.0000 0.5000 0.5000
Nb1 Nb 0.0000 0.0000 0.5000
N1 N 0.0000 0.0000 0.2453
N2 N 0.0370 0.5185 0.2382
```

# 2
Ac3La2NbN6: optimized geometry, PBE.

Summary:
**Total magnetic moment**: 0.00 μB/atom

Cell and atoms, written as CIF:
```
data_Ac3La2NbN6
_symmetry_space_group_name_H-M 'C 1 2/m 1'
_symmetry_Int_Tables_number 12
_cell_length_a 6.364
_cell_length_b 11.045
_cell_length_c 6.376
_cell_angle_alpha 90.00
_cell_angle_beta 108.97
_cell_angle_gamma 90.00
loop_
_symmetry_equiv_pos_as_xyz
'x,y,z'
'-x,-y,-z'
'-x,y,-z'
'x,-y,z'
'x+1/2,y+1/2,z'
'-x+1/2,-y+1/2,-z'
'-x+1/2,y+1/2,-z'
'x+1/2,-y+1/2,z'
loop_
_atom_site_label
_atom_site_type_symbol
_atom_site_fract_x
_atom_site_fract_y
_atom_site_fract_z
Ac1 Ac 0.000 0.000 0.000
Ac2 Ac 0.000 0.336 0.000
La1 La 0.000 0.168 0.500
Nb1 Nb 0.000 0.500 0.500
N1 N 0.215 0.357 0.710
N2 N 0.220 0.500 0.276
```

# 3
Ac2LaNdN4: optimized geometry, PBE.

Summary:
**Total magnetic moment**: 0.00 μB/atom

Cell and atoms, written as CIF:
```
data_Ac2LaNdN4
_symmetry_space_group_name_H-M 'P 1 2/m 1'
_symmetry_Int_Tables_number 10
_cell_length_a 6.590
_cell_length_b 3.806
_cell_length_c 6.609
_cell_angle_alpha 90.00
_cell_angle_beta 109.38
_cell_angle_gamma 90.00
loop_
_symmetry_equiv_pos_as_xyz
'x,y,z'
'-x,-y,-z'
'-x,y,-z'
'x,-y,z'
loop_
_atom_site_label
_atom_site_type_symbol
_atom_site_fract_x
_atom_site_fract_y
_atom_site_fract_z
Ac1 Ac 0.000 0.000 0.000
Ac2 Ac 0.500 0.500 0.000
La1 La 0.000 0.500 0.500
Nd1 Nd 0.500 0.000 0.500
N1 N 0.249 0.000 0.739
N2 N 0.255 0.500 0.261
```

# 4
AcLa2NdN4: optimized geometry, PBE.

Summary:
**Total magnetic moment**: 0.00 μB/atom

Cell and atoms, written as CIF:
```
data_AcLa2NdN4
_symmetry_space_group_name_H-M 'P 1 2/m 1'
_symmetry_Int_Tables_number 10
_cell_length_a 6.526
_cell_length_b 3.767
_cell_length_c 6.539
_cell_angle_alpha 90.00
_cell_angle_beta 109.49
_cell_angle_gamma 90.00
loop_
_symmetry_equiv_pos_as_xyz
'x,y,z'
'-x,-y,-z'
'-x,y,-z'
'x,-y,z'
loop_
_atom_site_label
_atom_site_type_symbol
_atom_site_fract_x
_atom_site_fract_y
_atom_site_fract_z
Ac1 Ac 0.000 0.000 0.000
La1 La 0.500 0.000 0.500
La2 La 0.500 0.500 0.000
Nd1 Nd 0.000 0.500 0.500
N1 N 0.250 0.000 0.745
N2 N 0.255 0.500 0.258
```

# 5
Ac2La3NdN6: optimized geometry, PBE.

Summary:
**Total magnetic moment**: 0.00 μB/atom

Cell and atoms, written as CIF:
```
data_Ac2La3NdN6
_symmetry_space_group_name_H-M 'C 1 2/m 1'
_symmetry_Int_Tables_number 12
_cell_length_a 16.675
_cell_length_b 3.776
_cell_length_c 7.562
_cell_angle_alpha 90.00
_cell_angle_beta 102.97
_cell_angle_gamma 90.00
loop_
_symmetry_equiv_pos_as_xyz
'x,y,z'
'-x,-y,-z'
'-x,y,-z'
'x,-y,z'
'x+1/2,y+1/2,z'
'-x+1/2,-y+1/2,-z'
'-x+1/2,y+1/2,-z'
'x+1/2,-y+1/2,z'
loop_
_atom_site_label
_atom_site_type_symbol
_atom_site_fract_x
_atom_site_fract_y
_atom_site_fract_z
Ac1 Ac 0.165 0.000 0.327
La1 La 0.000 0.500 0.500
La2 La 0.159 0.000 0.833
Nd1 Nd 0.000 0.500 0.000
N1 N 0.002 0.000 0.754
N2 N 0.156 0.500 0.073
N3 N 0.159 0.500 0.589
```

# 6
AcLaNd2N4: optimized geometry, PBE.

Summary:
**Total magnetic moment**: 0.00 μB/atom

Cell and atoms, written as CIF:
```
data_AcLaNd2N4
_symmetry_space_group_name_H-M 'P 1 2/m 1'
_symmetry_Int_Tables_number 10
_cell_length_a 6.478
_cell_length_b 3.739
_cell_length_c 6.501
_cell_angle_alpha 90.00
_cell_angle_beta 109.40
_cell_angle_gamma 90.00
loop_
_symmetry_equiv_pos_as_xyz
'x,y,z'
'-x,-y,-z'
'-x,y,-z'
'x,-y,z'
loop_
_atom_site_label
_atom_site_type_symbol
_atom_site_fract_x
_atom_site_fract_y
_atom_site_fract_z
Ac1 Ac 0.000 0.000 0.000
La1 La 0.500 0.500 0.000
Nd1 Nd 0.000 0.500 0.500
Nd2 Nd 0.500 0.000 0.500
N1 N 0.252 0.000 0.743
N2 N 0.257 0.500 0.261
```

# 7
AcLaNdN3: optimized geometry, PBE.

Summary:
**Total magnetic moment**: 0.00 μB/atom

Cell and atoms, written as CIF:
```
data_AcLaNdN3
_symmetry_space_group_name_H-M 'P 1 21/m 1'
_symmetry_Int_Tables_number 11
_cell_length_a 6.488
_cell_length_b 3.618
_cell_length_c 9.813
_cell_angle_alpha 90.00
_cell_angle_beta 97.76
_cell_angle_gamma 90.00
loop_
_symmetry_equiv_pos_as_xyz
'x,y,z'
'-x,-y,-z'
'-x,y+1/2,-z'
'x,-y+1/2,z'
loop_
_atom_site_label
_atom_site_type_symbol
_atom_site_fract_x
_atom_site_fract_y
_atom_site_fract_z
Ac1 Ac 0.237 0.250 0.445
La1 La 0.306 0.750 0.787
Nd1 Nd 0.172 0.750 0.126
N1 N 0.026 0.250 0.659
N2 N 0.219 0.250 0.980
N3 N 0.475 0.750 0.315
```

# 8
AcLa2NpN4: optimized geometry, PBE.

Summary:
**Total magnetic moment**: 0.46 μB/atom

Cell and atoms, written as CIF:
```
data_AcLa2NpN4
_symmetry_space_group_name_H-M 'C m c m'
_symmetry_Int_Tables_number 63
_symmetry_space_group_name_Hall '-C 2c 2'
_cell_length_a 3.735
_cell_length_b 12.824
_cell_length_c 12.870
_cell_angle_alpha 90.00
_cell_angle_beta 90.00
_cell_angle_gamma 90.00
loop_
_atom_site_label
_atom_site_type_symbol
_atom_site_fract_x
_atom_site_fract_y
_atom_site_fract_z
Ac1 Ac 0.000 0.099 0.250
La1 La 0.000 0.374 0.036
Np1 Np 0.000 0.171 0.750
N1 N 0.000 0.000 0.000
N2 N 0.000 0.287 0.631
N3 N 0.000 0.433 0.250
```

# 9
Ac2La3NpN6: optimized geometry, PBE.

Summary:
**Total magnetic moment**: 0.17 μB/atom

Cell and atoms, written as CIF:
```
data_Ac2La3NpN6
_symmetry_space_group_name_H-M 'C 1 2/m 1'
_symmetry_Int_Tables_number 12
_cell_length_a 6.479
_cell_length_b 11.291
_cell_length_c 6.399
_cell_angle_alpha 90.00
_cell_angle_beta 109.58
_cell_angle_gamma 90.00
loop_
_symmetry_equiv_pos_as_xyz
'x,y,z'
'-x,-y,-z'
'-x,y,-z'
'x,-y,z'
'x+1/2,y+1/2,z'
'-x+1/2,-y+1/2,-z'
'-x+1/2,y+1/2,-z'
'x+1/2,-y+1/2,z'
loop_
_atom_site_label
_atom_site_type_symbol
_atom_site_fract_x
_atom_site_fract_y
_atom_site_fract_z
Ac1 Ac 0.000 0.167 0.000
La1 La 0.000 0.000 0.500
La2 La 0.000 0.341 0.500
Np1 Np 0.000 0.500 0.000
N1 N 0.212 0.362 0.219
N2 N 0.216 0.500 0.755
```

# 10
Ac3La2NpN6: optimized geometry, PBE.

Summary:
**Total magnetic moment**: 0.13 μB/atom

Cell and atoms, written as CIF:
```
data_Ac3La2NpN6
_symmetry_space_group_name_H-M 'C 1 2/m 1'
_symmetry_Int_Tables_number 12
_cell_length_a 6.462
_cell_length_b 11.184
_cell_length_c 6.498
_cell_angle_alpha 90.00
_cell_angle_beta 109.07
_cell_angle_gamma 90.00
loop_
_symmetry_equiv_pos_as_xyz
'x,y,z'
'-x,-y,-z'
'-x,y,-z'
'x,-y,z'
'x+1/2,y+1/2,z'
'-x+1/2,-y+1/2,-z'
'-x+1/2,y+1/2,-z'
'x+1/2,-y+1/2,z'
loop_
_atom_site_label
_atom_site_type_symbol
_atom_site_fract_x
_atom_site_fract_y
_atom_site_fract_z
Ac1 Ac 0.000 0.000 0.000
Ac2 Ac 0.000 0.333 0.000
La1 La 0.000 0.166 0.500
Np1 Np 0.000 0.500 0.500
N1 N 0.211 0.358 0.704
N2 N 0.220 0.500 0.277
```

# 11
AcLaNO: optimized geometry, PBE.

Summary:
**Total magnetic moment**: 0.00 μB/atom

Cell and atoms, written as CIF:
```
data_AcLaNO
_symmetry_space_group_name_H-M 'P -6 m 2'
_symmetry_Int_Tables_number 187
_symmetry_space_group_name_Hall 'P -6 2'
_cell_length_a 4.3197
_cell_length_b 4.3197
_cell_length_c 5.5150
_cell_angle_alpha 90.00
_cell_angle_beta 90.00
_cell_angle_gamma 120.00
loop_
_atom_site_label
_atom_site_type_symbol
_atom_site_fract_x
_atom_site_fract_y
_atom_site_fract_z
Ac1 Ac 0.0000 0.0000 0.0000
La1 La 0.3333 0.6667 0.5000
N1 N 0.0000 0.0000 0.5000
O1 O 0.3333 0.6667 0.0000
```

# 12
AcLa2OsN4: optimized geometry, PBE.

Summary:
**Total magnetic moment**: 0.00 μB/atom

Cell and atoms, written as CIF:
```
data_AcLa2OsN4
_symmetry_space_group_name_H-M 'C m c m'
_symmetry_Int_Tables_number 63
_symmetry_space_group_name_Hall '-C 2c 2'
_cell_length_a 3.597
_cell_length_b 12.462
_cell_length_c 12.451
_cell_angle_alpha 90.00
_cell_angle_beta 90.00
_cell_angle_gamma 90.00
loop_
_atom_site_label
_atom_site_type_symbol
_atom_site_fract_x
_atom_site_fract_y
_atom_site_fract_z
Ac1 Ac 0.000 0.114 0.250
La1 La 0.000 0.368 0.041
Os1 Os 0.000 0.155 0.750
N1 N 0.000 0.000 0.000
N2 N 0.000 0.272 0.635
N3 N 0.000 0.416 0.250
```

Summary of ΔE_f (raw) in eV/atom
-1.079, -1.100, -1.175, -1.241, -1.225, -1.250, -1.136, -1.013, -1.213, -1.179, -1.941, -0.780
(order as listed above)